# 1
# FeNi3 | the Alexandria database | PBEsol | relaxed
data_FeNi3
_cell_length_a 2.4580
_cell_length_b 2.4580
_cell_length_c 8.0342
_cell_angle_alpha 90.00
_cell_angle_beta 90.00
_cell_angle_gamma 120.00
_space_group_name_H-M_alt 'P -6 m 2'
_space_group_IT_number 187
_space_group_name_Hall 'P -6 2'
loop_
_atom_site_label
_atom_site_type_symbol
_atom_site_fract_x
_atom_site_fract_y
_atom_site_fract_z
Fe1 Fe 0.0000 0.0000 0.0000
Ni1 Ni 0.0000 0.0000 0.5000
Ni2 Ni 0.3333 0.6667 0.2489
# - crystal system = hexagonal
# - magnetization (μB per atom) = 1.07
# - ΔE_f (kJ per mole of atoms) = 0


# 2
# Fe2Ni | the Alexandria database | PBEsol | relaxed
data_Fe2Ni
_cell_length_a 2.5478
_cell_length_b 12.5710
_cell_length_c 4.1198
_cell_angle_alpha 90.00
_cell_angle_beta 90.00
_cell_angle_gamma 90.00
_space_group_name_H-M_alt 'C m c m'
_space_group_IT_number 63
_space_group_name_Hall '-C 2c 2'
loop_
_atom_site_label
_atom_site_type_symbol
_atom_site_fract_x
_atom_site_fract_y
_atom_site_fract_z
Fe1 Fe 0.0000 0.0699 0.2500
Fe2 Fe 0.0000 0.2610 0.7500
Ni1 Ni 0.0000 0.4012 0.2500
# - crystal system = orthorhombic
# - magnetization (μB per atom) = 1.92
# - ΔE_f (kJ per mole of atoms) = 8


# 3
# Fe8Ni | the Alexandria database | PBEsol | relaxed
data_Fe8Ni
_cell_length_a 8.3946
_cell_length_b 8.3946
_cell_length_c 2.8009
_cell_angle_alpha 90.00
_cell_angle_beta 90.00
_cell_angle_gamma 90.00
_space_group_name_H-M_alt 'I 4/m m m'
_space_group_IT_number 139
_space_group_name_Hall '-I 4 2'
loop_
_atom_site_label
_atom_site_type_symbol
_atom_site_fract_x
_atom_site_fract_y
_atom_site_fract_z
Fe1 Fe 0.0000 0.3334 0.0000
Fe2 Fe 0.1673 0.1673 0.5000
Ni1 Ni 0.0000 0.0000 0.0000
# - crystal system = tetragonal
# - magnetization (μB per atom) = 2.20
# - ΔE_f (kJ per mole of atoms) = 5


# 4
# Fe2Ni | the Alexandria database | PBEsol | relaxed
data_Fe2Ni
_cell_length_a 4.9719
_cell_length_b 3.4658
_cell_length_c 7.5140
_cell_angle_alpha 90.00
_cell_angle_beta 90.00
_cell_angle_gamma 90.00
_space_group_name_H-M_alt 'P n m a'
_space_group_IT_number 62
loop_
_space_group_symop_operation_xyz
'x,y,z'
'-x,-y,-z'
'-x+1/2,-y,z+1/2'
'x+1/2,y,-z+1/2'
'x+1/2,-y+1/2,-z+1/2'
'-x+1/2,y+1/2,z+1/2'
'-x,y+1/2,-z'
'x,-y+1/2,z'
loop_
_atom_site_label
_atom_site_type_symbol
_atom_site_fract_x
_atom_site_fract_y
_atom_site_fract_z
Fe1 Fe 0.1204 0.2500 0.0811
Fe2 Fe 0.1340 0.2500 0.7423
Ni1 Ni 0.1192 0.2500 0.4156
# - crystal system = orthorhombic
# - magnetization (μB per atom) = 1.79
# - ΔE_f (kJ per mole of atoms) = 4


# 5
# Fe4Ni | the Alexandria database | PBEsol | relaxed
data_Fe4Ni
_cell_length_a 6.2502
_cell_length_b 6.2502
_cell_length_c 2.8323
_cell_angle_alpha 90.00
_cell_angle_beta 90.00
_cell_angle_gamma 90.00
_space_group_name_H-M_alt 'I 4/m'
_space_group_IT_number 87
_space_group_name_Hall '-I 4'
loop_
_atom_site_label
_atom_site_type_symbol
_atom_site_fract_x
_atom_site_fract_y
_atom_site_fract_z
Fe1 Fe 0.1019 0.6978 0.0000
Ni1 Ni 0.0000 0.0000 0.5000
# - crystal system = tetragonal
# - magnetization (μB per atom) = 2.17
# - ΔE_f (kJ per mole of atoms) = 6


# 6
# Fe2Ni | the Alexandria database | PBEsol | relaxed
data_Fe2Ni
_cell_length_a 2.4964
_cell_length_b 3.3861
_cell_length_c 7.7886
_cell_angle_alpha 90.00
_cell_angle_beta 90.00
_cell_angle_gamma 90.00
_space_group_name_H-M_alt 'I m m m'
_space_group_IT_number 71
_space_group_name_Hall '-I 2 2'
loop_
_atom_site_label
_atom_site_type_symbol
_atom_site_fract_x
_atom_site_fract_y
_atom_site_fract_z
Fe1 Fe 0.0000 0.0000 0.1652
Ni1 Ni 0.0000 0.0000 0.5000
# - crystal system = orthorhombic
# - magnetization (μB per atom) = 1.92
# - ΔE_f (kJ per mole of atoms) = 6


# 7
# Fe3Ni | the Alexandria database | PBEsol | relaxed
data_Fe3Ni
_cell_length_a 8.2630
_cell_length_b 2.4209
_cell_length_c 4.3634
_cell_angle_alpha 90.00
_cell_angle_beta 98.24
_cell_angle_gamma 90.00
_space_group_name_H-M_alt 'C 1 2/m 1'
_space_group_IT_number 12
loop_
_space_group_symop_operation_xyz
'x,y,z'
'-x,-y,-z'
'-x,y,-z'
'x,-y,z'
'x+1/2,y+1/2,z'
'-x+1/2,-y+1/2,-z'
'-x+1/2,y+1/2,-z'
'x+1/2,-y+1/2,z'
loop_
_atom_site_label
_atom_site_type_symbol
_atom_site_fract_x
_atom_site_fract_y
_atom_site_fract_z
Fe1 Fe 0.0000 0.0000 0.0000
Fe2 Fe 0.2448 0.0000 0.7467
Ni1 Ni 0.0000 0.5000 0.5000
# - crystal system = monoclinic
# - magnetization (μB per atom) = 1.83
# - ΔE_f (kJ per mole of atoms) = 9


# 8
# Fe4Ni3 | the Alexandria database | PBEsol | relaxed
data_Fe4Ni3
_cell_length_a 2.8623
_cell_length_b 2.8623
_cell_length_c 18.7380
_cell_angle_alpha 90.00
_cell_angle_beta 90.00
_cell_angle_gamma 90.00
_space_group_name_H-M_alt 'I 4/m m m'
_space_group_IT_number 139
_space_group_name_Hall '-I 4 2'
loop_
_atom_site_label
_atom_site_type_symbol
_atom_site_fract_x
_atom_site_fract_y
_atom_site_fract_z
Fe1 Fe 0.0000 0.0000 0.0728
Fe2 Fe 0.0000 0.0000 0.3538
Ni1 Ni 0.0000 0.0000 0.2139
Ni2 Ni 0.0000 0.0000 0.5000
# - relative energy among the computed polymorphs (meV per atom) = 0.0
# - crystal system = tetragonal
# - magnetization (μB per atom) = 1.77
# - ΔE_f (kJ per mole of atoms) = 6


# 9
# Fe3Ni | the Alexandria database | PBEsol | relaxed
data_Fe3Ni
_cell_length_a 2.8830
_cell_length_b 3.8689
_cell_length_c 7.7743
_cell_angle_alpha 90.00
_cell_angle_beta 90.00
_cell_angle_gamma 90.00
_space_group_name_H-M_alt 'C m m m'
_space_group_IT_number 65
_space_group_name_Hall '-C 2 2'
loop_
_atom_site_label
_atom_site_type_symbol
_atom_site_fract_x
_atom_site_fract_y
_atom_site_fract_z
Fe1 Fe 0.0000 0.0000 0.0000
Fe2 Fe 0.0000 0.5000 0.2527
Ni1 Ni 0.0000 0.0000 0.5000
# - crystal system = orthorhombic
# - magnetization (μB per atom) = 1.90
# - ΔE_f (kJ per mole of atoms) = 4


# 10
# FeNi3 | the Alexandria database | PBEsol | relaxed
data_FeNi3
_cell_length_a 3.4796
_cell_length_b 3.4796
_cell_length_c 6.9721
_cell_angle_alpha 90.00
_cell_angle_beta 90.00
_cell_angle_gamma 90.00
_space_group_name_H-M_alt 'I 4/m m m'
_space_group_IT_number 139
_space_group_name_Hall '-I 4 2'
loop_
_atom_site_label
_atom_site_type_symbol
_atom_site_fract_x
_atom_site_fract_y
_atom_site_fract_z
Fe1 Fe 0.0000 0.0000 0.0000
Ni1 Ni 0.0000 0.0000 0.5000
Ni2 Ni 0.0000 0.5000 0.2500
# - crystal system = tetragonal
# - magnetization (μB per atom) = 1.12
# - ΔE_f (kJ per mole of atoms) = -6


# 11
# Fe3Ni | the Alexandria database | PBEsol | relaxed
data_Fe3Ni
_cell_length_a 2.4176
_cell_length_b 3.9687
_cell_length_c 4.6380
_cell_angle_alpha 90.00
_cell_angle_beta 99.85
_cell_angle_gamma 90.00
_space_group_name_H-M_alt 'P 1 2/m 1'
_space_group_IT_number 10
loop_
_space_group_symop_operation_xyz
'x,y,z'
'-x,-y,-z'
'-x,y,-z'
'x,-y,z'
loop_
_atom_site_label
_atom_site_type_symbol
_atom_site_fract_x
_atom_site_fract_y
_atom_site_fract_z
Fe1 Fe 0.0000 0.0000 0.0000
Fe2 Fe 0.2417 0.5000 0.7532
Ni1 Ni 0.5000 0.0000 0.5000
# - crystal system = monoclinic
# - magnetization (μB per atom) = 2.04
# - ΔE_f (kJ per mole of atoms) = 5


# 12
# FeNi3 | the Alexandria database | PBEsol | relaxed
data_FeNi3
_cell_length_a 4.9128
_cell_length_b 6.9939
_cell_length_c 2.4582
_cell_angle_alpha 90.00
_cell_angle_beta 90.00
_cell_angle_gamma 90.00
_space_group_name_H-M_alt 'C m m m'
_space_group_IT_number 65
_space_group_name_Hall '-C 2 2'
loop_
_atom_site_label
_atom_site_type_symbol
_atom_site_fract_x
_atom_site_fract_y
_atom_site_fract_z
Fe1 Fe 0.0000 0.0000 0.0000
Ni1 Ni 0.0000 0.5000 0.0000
Ni2 Ni 0.2500 0.2500 0.5000
# - crystal system = orthorhombic
# - magnetization (μB per atom) = 1.15
# - ΔE_f (kJ per mole of atoms) = -3


no.,energy (Ry per atom)
1,-0.504
2,-0.584
3,-0.632
4,-0.587
5,-0.613
6,-0.586
7,-0.601
8,-0.566
9,-0.604
10,-0.509
11,-0.603
12,-0.506